HgBi2Sb3Pb6: optimized geometry, PBE-GGA.

The calculation puts the total magnetization at 0.00 μB/f.u. Its space-group type is C2/m (12). Its density of states at the Fermi level is 0.636 states/eV per atom. The calculation puts the calculated total energy at -3.495 eV per atom.

Cell: 7.8750 7.8750 8.0973 Å, 99.22 99.22 121.34°
Positions (direct):
Sb 0.8374 0.1626 0.5000
Sb 0.5000 0.5000 0.5000
Sb 0.1626 0.8374 0.5000
Pb 0.9067 0.5615 0.7285
Pb 0.2599 0.2599 0.7439
Pb 0.5615 0.9067 0.7285
Pb 0.0933 0.4385 0.2715
Pb 0.4385 0.0933 0.2715
Pb 0.7401 0.7401 0.2561
Bi 0.6692 0.3308 0.0000
Bi 0.3308 0.6692 0.0000
Hg 0.0000 0.0000 0.0000

=====

Ag2Cl: optimized geometry, PBE-GGA.

The calculation puts the total magnetization at 0.00 μB/f.u. As for the energy above the most stable polymorph in this dataset: 367 meV/atom. Its space-group type is Fd-3m (227). Its density of states at the Fermi level is 1.083 states/eV per atom. The calculation puts the calculated total energy at -2.371 eV per atom.

Cell: 5.6425 5.6425 5.6425 Å, 60.00 60.00 60.00°
Positions (direct):
Cl 0.5000 0.5000 0.5000
Cl 0.7500 0.7500 0.7500
Ag 0.6250 0.1250 0.1250
Ag 0.1250 0.6250 0.1250
Ag 0.1250 0.1250 0.1250
Ag 0.1250 0.1250 0.6250

=====

GePbSCl2: optimized geometry, PBE-GGA.

The calculation puts the total magnetization at 0.50 μB/f.u. As for the energy above the most stable polymorph in this dataset: 458 meV/atom. Its space-group type is P4/mmm (123). Its density of states at the Fermi level is 0.615 states/eV per atom. The calculation puts the calculated total energy at -3.176 eV per atom.

Cell: 5.3631 5.3631 5.4117 Å, 90.00 90.00 90.00°
Positions (direct):
Cl 0.0000 0.5000 0.0000
Cl 0.5000 0.0000 0.0000
S 0.0000 0.0000 0.5000
Pb 0.0000 0.0000 0.0000
Ge 0.5000 0.5000 0.5000

=====

Ac2GaPd7: optimized geometry, PBE-GGA.

The value obtained for the formation enthalpy at 0 K is -6.000 eV per formula unit. The calculation puts the total magnetization at 0.00 μB/f.u. Its space-group type is P-4m2 (115). Its density of states at the Fermi level is 0.447 states/eV per atom. The calculation puts the calculated total energy at -5.359 eV per atom.

Cell: 4.1431 4.1431 12.1212 Å, 90.00 90.00 90.00°
Positions (direct):
Ga 0.5000 0.5000 0.0000
Pd 0.5000 0.0000 0.3536
Pd 0.5000 0.0000 0.1361
Pd 0.5000 0.5000 0.5000
Pd 0.0000 0.5000 0.6464
Pd 0.0000 0.0000 0.5000
Pd 0.0000 0.0000 0.0000
Pd 0.0000 0.5000 0.8639
Ac 0.5000 0.0000 0.7331
Ac 0.0000 0.5000 0.2669

=====

> Number 3 is which compound?

GePbSCl2

=====

> Look up the total magnetization of the first one.

0.00 μB/f.u.